No. 1
## Nd2Ga4Pd3 (GGA-PBE)

Data for crystalline Nd2Ga4Pd3 at its relaxed geometry.

Cell lengths 8.237, 8.237, 7.609 Å; angles 90.00, 90.00, 137.69 degrees
Element x y z (fractional)
Nd  0.115  0.885  0.914
Nd  0.385  0.615  0.414
Nd  0.615  0.385  0.586
Nd  0.885  0.115  0.086
Ga  0.178  0.822  0.520
Ga  0.194  0.306  0.750
Ga  0.306  0.194  0.250
Ga  0.322  0.678  0.020
Ga  0.678  0.322  0.980
Ga  0.694  0.806  0.750
Ga  0.806  0.694  0.250
Ga  0.822  0.178  0.480
Pd  0.000  0.000  0.500
Pd  0.024  0.476  0.750
Pd  0.476  0.024  0.250
Pd  0.500  0.500  0.000
Pd  0.524  0.976  0.750
Pd  0.976  0.524  0.250

Properties
Its total energy is -4.89 eV per atom. As for the space group: No. 64. The calculated formation energy comes out at -753 meV/atom. Its magnetic moment is 0.00 μB/atom.

---

No. 2
## Nd3GaPd12 (GGA-PBE)

Data for crystalline Nd3GaPd12 at its relaxed geometry.

Cell lengths 4.179, 4.179, 16.205 Å; angles 90.00, 90.00, 90.00 degrees
Element x y z (fractional)
Nd  0.000  0.000  0.000
Nd  0.000  0.000  0.260
Nd  0.000  0.000  0.740
Ga  0.000  0.000  0.500
Pd  0.000  0.500  0.130
Pd  0.000  0.500  0.392
Pd  0.000  0.500  0.608
Pd  0.000  0.500  0.870
Pd  0.500  0.000  0.130
Pd  0.500  0.000  0.392
Pd  0.500  0.000  0.608
Pd  0.500  0.000  0.870
Pd  0.500  0.500  0.000
Pd  0.500  0.500  0.261
Pd  0.500  0.500  0.500
Pd  0.500  0.500  0.739

Properties
Its total energy is -5.66 eV per atom. As for the space group: No. 123. The calculated formation energy comes out at -684 meV/atom. Its magnetic moment is 0.00 μB/atom.

---

No. 3
## NdGaPd (GGA-PBE)

Data for crystalline NdGaPd at its relaxed geometry.

Cell lengths 4.684, 4.684, 4.684 Å; angles 60.00, 60.00, 60.00 degrees
Element x y z (fractional)
Nd  0.000  0.000  0.000
Ga  0.500  0.500  0.500
Pd  0.750  0.750  0.750

Properties
Its total energy is -4.93 eV per atom. As for the space group: No. 216. The calculated formation energy comes out at -602 meV/atom. Its magnetic moment is 0.00 μB/atom.

---

No. 4
## NdGa2Pd (GGA-PBE)

Data for crystalline NdGa2Pd at its relaxed geometry.

Cell lengths 3.338, 3.338, 7.019 Å; angles 90.00, 90.00, 90.00 degrees
Element x y z (fractional)
Nd  0.000  0.000  0.000
Ga  0.500  0.500  0.305
Ga  0.500  0.500  0.695
Pd  0.000  0.000  0.500

Properties
Its total energy is -4.58 eV per atom. As for the space group: No. 123. The calculated formation energy comes out at -572 meV/atom. Its magnetic moment is 0.00 μB/atom.

---

Question: Among the records above, which one has the highest calculated formation energy?
Answer: NdGa2Pd

---

Question: Which formula does entry 1 have?
Answer: Nd2Ga4Pd3

---

Question: Look up the magnetic moment of the fourth one.
Answer: 0.00 μB/atom

---

Question: Look up the magnetic moment of the third one.
Answer: 0.00 μB/atom